Crystalline Rb3NaMn2Cl9 at its relaxed geometry. Source: Alexandria via LeMat-Bulk, functional PBE-GGA.

a b c (Å): 7.2093 7.2093 8.9530
angles (deg): 90.00 90.00 120.00
Space group P-3m1 (No. 164)
Inequivalent atoms, fractional coordinates:
Rb1 0.0000 0.0000 0.0000
Rb2 0.3333 0.6667 0.6616
Na1 0.0000 0.0000 0.5000
Mn1 0.3333 0.6667 0.1653
Cl1 0.0000 0.5000 0.0000
Cl2 0.1744 0.3487 0.3139

Size of the total moment: 9.00 μB per formula unit
ΔE_f (raw): -22.97 eV/f.u.


Crystalline RbNa2MnCl8 at its relaxed geometry. Source: Alexandria via LeMat-Bulk, functional PBE-GGA.

a b c (Å): 5.642 6.478 9.101
angles (deg): 90.03 90.26 91.51
Space group P-1 (No. 2)
Inequivalent atoms, fractional coordinates:
Rb1 0.000 0.000 0.000
Na1 0.498 0.500 0.715
Mn1 0.000 0.000 0.500
Cl1 0.223 0.302 0.499
Cl2 0.229 0.863 0.320
Cl3 0.232 0.866 0.682
Cl4 0.253 0.494 0.000

Size of the total moment: 3.19 μB per formula unit
ΔE_f (raw): -14.60 eV/f.u.


Crystalline RbNa3Mn4Cl12 at its relaxed geometry. Source: Alexandria via LeMat-Bulk, functional PBE-GGA.

a b c (Å): 14.6135 14.6135 10.2425
angles (deg): 90.00 90.00 120.00
Space group R32 (No. 155, hexagonal axes)
Inequivalent atoms, fractional coordinates:
Rb1 0.0000 0.0000 0.0000
Na1 0.0000 0.5621 0.0000
Mn1 0.0000 0.0000 0.5000
Mn2 0.0000 0.4362 0.5000
Cl1 0.0000 0.5920 0.5000
Cl2 0.0000 0.8444 0.5000
Cl3 0.0533 0.2287 0.1653

Size of the total moment: 20.00 μB per formula unit
ΔE_f (raw): -26.19 eV/f.u.


no.,DFT total energy (Ha/atom)
1,-0.152
2,-0.129
3,-0.165